(1)
Density functional theory data (PBE) for a geometry-optimized TbSm2Y6Sc structure.

As for the spin magnetization: 0.00 μB per formula unit. As for the theoretical density: 5.36 Mg/m³. For the energy of formation, the calculation gives 0.1172 eV/atom. The calculation puts the energy at -5.80 eV per atom. The calculation puts the density of states at the Fermi level at 49.43 states/eV/cell.

a b c (Å): 9.245 15.948 8.738
angles (deg): 90.00 92.59 90.00
Space group C2/c (No. 15)
One atom of each set of equivalent atoms:
1 Tb 0.000 0.031 0.250 x4
2 Sm 0.235 0.446 0.447 x8
3 Y 0.036 0.170 0.949 x8
4 Y 0.105 0.369 0.091 x8
5 Y 0.245 0.295 0.707 x8
6 Sc 0.000 0.446 0.750 x4



(2)
Density functional theory data (PBE) for a geometry-optimized Tb5Sm2YSc structure.

As for the spin magnetization: 0.00 μB per formula unit. As for the theoretical density: 7.04 Mg/m³. For the energy of formation, the calculation gives 0.1607 eV/atom. The calculation puts the energy at -4.88 eV per atom. The calculation puts the density of states at the Fermi level at 55.57 states/eV/cell.

a b c (Å): 5.561 20.131 10.357
angles (deg): 90.00 90.00 90.00
Space group Cmc2_1 (No. 36)
One atom of each set of equivalent atoms:
1 Tb 0.000 0.016 0.000 x4
2 Tb 0.000 0.274 0.306 x4
3 Tb 0.000 0.298 0.689 x4
4 Tb 0.000 0.374 0.005 x4
5 Tb 0.000 0.483 0.727 x4
6 Sm 0.000 0.113 0.297 x4
7 Sm 0.000 0.115 0.720 x4
8 Y 0.000 0.407 0.443 x4
9 Sc 0.000 0.195 0.000 x4



(3)
Density functional theory data (PBE) for a geometry-optimized Tb2Sm4YSc structure.

As for the spin magnetization: 0.00 μB per formula unit. As for the theoretical density: 6.87 Mg/m³. For the energy of formation, the calculation gives 0.0291 eV/atom. The calculation puts the energy at -5.09 eV per atom. The calculation puts the density of states at the Fermi level at 11.32 states/eV/cell.

a b c (Å): 5.051 5.062 9.956
angles (deg): 90.00 90.00 90.00
Space group Pmmm (No. 47)
One atom of each set of equivalent atoms:
1 Tb 0.000 0.000 0.000 x1
2 Tb 0.500 0.500 0.500 x1
3 Sm 0.000 0.500 0.244 x2
4 Sm 0.500 0.000 0.244 x2
5 Y 0.000 0.000 0.500 x1
6 Sc 0.500 0.500 0.000 x1



(4)
Density functional theory data (PBE) for a geometry-optimized Tb2Sm3Y6Sc structure.

As for the spin magnetization: 0.00 μB per formula unit. As for the theoretical density: 5.86 Mg/m³. For the energy of formation, the calculation gives 0.0291 eV/atom. The calculation puts the energy at -5.68 eV per atom. The calculation puts the density of states at the Fermi level at 34.62 states/eV/cell.

a b c (Å): 6.168 10.677 11.781
angles (deg): 90.00 100.01 90.00
Space group C2/m (No. 12)
One atom of each set of equivalent atoms:
1 Tb 0.000 0.167 0.000 x4
2 Sm 0.000 0.000 0.500 x2
3 Sm 0.000 0.333 0.500 x4
4 Y 0.247 0.335 0.246 x8
5 Y 0.249 0.500 0.754 x4
6 Sc 0.000 0.500 0.000 x2